No. 1
The following is a GGA-PBE calculation of crystalline La10TbEr4 at its relaxed geometry, from Alexandria via LeMat-Bulk.

Cell: 8.809 8.809 8.809 Å, 111.56 111.56 105.36°
Element x y z (fractional)
La: 0.045 0.938 0.670
La: 0.062 0.732 0.107
La: 0.250 0.750 0.500
La: 0.268 0.375 0.330
La: 0.375 0.045 0.107
La: 0.625 0.955 0.893
La: 0.732 0.625 0.670
La: 0.750 0.250 0.500
La: 0.938 0.268 0.893
La: 0.955 0.062 0.330
Tb: 0.500 0.500 0.000
Er: 0.166 0.561 0.727
Er: 0.439 0.166 0.605
Er: 0.561 0.834 0.395
Er: 0.834 0.439 0.273

Properties
Total magnetic moment ... 0.0 μB/f.u.
Formation energy ... 6.1 kcal/mol of atoms
VASP energy ... -4.55 eV/atom
Space group ... I4/m

***

No. 2
The following is a GGA-PBE calculation of crystalline AcHo2Ga2 at its relaxed geometry, from Alexandria via LeMat-Bulk.

Cell: 5.363 4.617 11.703 Å, 90.00 94.68 90.00°
Element x y z (fractional)
Ac: 0.193 0.250 0.245
Ac: 0.807 0.750 0.755
Ho: 0.244 0.750 0.492
Ho: 0.343 0.250 0.891
Ho: 0.657 0.750 0.109
Ho: 0.756 0.250 0.508
Ga: 0.145 0.750 0.019
Ga: 0.279 0.250 0.643
Ga: 0.721 0.750 0.357
Ga: 0.855 0.250 0.981

Properties
Total magnetic moment ... 0.0 μB/f.u.
Formation energy ... -8.7 kcal/mol of atoms
VASP energy ... -4.24 eV/atom
Space group ... P2_1/m

***

No. 3
The following is a GGA-PBE calculation of crystalline VPtRh3 at its relaxed geometry, from Alexandria via LeMat-Bulk.

Cell: 6.516 2.750 8.944 Å, 90.00 111.23 90.00°
Element x y z (fractional)
V: 0.232 0.000 0.462
V: 0.768 0.000 0.538
Pt: 0.301 0.500 0.999
Pt: 0.699 0.500 0.001
Rh: 0.083 0.000 0.165
Rh: 0.125 0.500 0.672
Rh: 0.454 0.500 0.326
Rh: 0.546 0.500 0.674
Rh: 0.875 0.500 0.328
Rh: 0.917 0.000 0.835

Properties
Total magnetic moment ... 0.0 μB/f.u.
Formation energy ... -3.5 kcal/mol of atoms
VASP energy ... -7.60 eV/atom
Space group ... P2/m
Energy above the lowest structure with this stoichiometry ... 0 meV per atom

***

No. 4
The following is a GGA-PBE calculation of crystalline ReNi2Te at its relaxed geometry, from Alexandria via LeMat-Bulk.

Cell: 3.001 4.229 4.612 Å, 90.00 90.00 90.00°
Element x y z (fractional)
Re: 0.000 0.000 0.000
Ni: 0.500 0.000 0.464
Ni: 0.500 0.500 0.155
Te: 0.000 0.500 0.634

Properties
Total magnetic moment ... 0.0 μB/f.u.
VASP energy ... -6.38 eV/atom
Space group ... Pmm2
Formation energy without anion corrections ... 1.63 eV per formula unit

***

Copy entry 1 word for word.
The following is a GGA-PBE calculation of crystalline La10TbEr4 at its relaxed geometry, from Alexandria via LeMat-Bulk.

Cell: 8.809 8.809 8.809 Å, 111.56 111.56 105.36°
Element x y z (fractional)
La: 0.045 0.938 0.670
La: 0.062 0.732 0.107
La: 0.250 0.750 0.500
La: 0.268 0.375 0.330
La: 0.375 0.045 0.107
La: 0.625 0.955 0.893
La: 0.732 0.625 0.670
La: 0.750 0.250 0.500
La: 0.938 0.268 0.893
La: 0.955 0.062 0.330
Tb: 0.500 0.500 0.000
Er: 0.166 0.561 0.727
Er: 0.439 0.166 0.605
Er: 0.561 0.834 0.395
Er: 0.834 0.439 0.273

Properties
Total magnetic moment ... 0.0 μB/f.u.
Formation energy ... 6.1 kcal/mol of atoms
VASP energy ... -4.55 eV/atom
Space group ... I4/m

***

Which of these has the lowest VASP energy?
VPtRh3